Record 1
Below is Rb2Mg2B after structural relaxation, with properties calculated at the PBE level.

## Properties
Energy relative to the elements (meV/atom): 946

abc: 4.144 4.144 22.120
angles: 90.00 90.00 90.00
Space group I4/mmm (No. 139)
Unique sites:
Rb1 0.000 0.000 0.086 [4 per cell]
Mg1 0.000 0.500 0.250 [4 per cell]
B1 0.000 0.000 0.500 [2 per cell]

---

Record 2
Below is ZnCuN after structural relaxation, with properties calculated at the PBE level.

## Properties
Formation energy from raw total energies (kJ per mole of atoms): 20

abc: 3.586 8.910 5.105
angles: 90.00 90.00 90.00
Space group Cmcm (No. 63)
Unique sites:
Zn1 0.000 0.240 0.250 [4 per cell]
Cu1 0.000 0.500 0.000 [4 per cell]
N1 0.000 0.344 0.750 [4 per cell]

---

Record 3
Below is Y2HfThN4 after structural relaxation, with properties calculated at the PBE level.

## Properties
Formation energy from raw total energies (kJ per mole of atoms): -157

abc: 5.960 3.453 6.028
angles: 90.00 109.16 90.00
Space group P2/m (No. 10)
Unique sites:
Y1 0.000 0.000 0.000 [1 per cell]
Y2 0.000 0.500 0.500 [1 per cell]
Hf1 0.500 0.000 0.500 [1 per cell]
Th1 0.500 0.500 0.000 [1 per cell]
N1 0.260 0.000 0.731 [2 per cell]
N2 0.270 0.500 0.273 [2 per cell]

---

Record 4
Below is PmEr2Zn2In2 after structural relaxation, with properties calculated at the PBE level.

## Properties
Energy relative to the elements (meV/atom): -280

abc: 4.7221 4.7221 27.2624
angles: 90.00 90.00 120.00
Space group R-3m (No. 166, hexagonal axes)
Unique sites:
Pm1 0.0000 0.0000 0.0000 [3 per cell]
Er1 0.0000 0.0000 0.1287 [6 per cell]
Zn1 0.0000 0.0000 0.4041 [6 per cell]
In1 0.0000 0.0000 0.2597 [6 per cell]

---

Record 5
Below is HoInCuAu after structural relaxation, with properties calculated at the PBE level.

## Properties
Energy relative to the elements (meV/atom): -508

abc: 6.823 6.823 6.823
angles: 90.00 90.00 90.00
Space group F-43m (No. 216)
Unique sites:
Ho1 0.000 0.000 0.000 [4 per cell]
In1 0.000 0.000 0.500 [4 per cell]
Cu1 0.250 0.250 0.250 [4 per cell]
Au1 0.250 0.250 0.750 [4 per cell]

---

Record 6
Below is SbTeW2 after structural relaxation, with properties calculated at the PBE level.

## Properties
Formation energy from raw total energies (kJ per mole of atoms): 38

abc: 3.2730 3.2730 30.3752
angles: 90.00 90.00 120.00
Space group R3m (No. 160, hexagonal axes)
Unique sites:
Sb1 0.0000 0.0000 0.0000 [3 per cell]
Te1 0.0000 0.0000 0.7962 [3 per cell]
W1 0.0000 0.0000 0.2591 [3 per cell]
W2 0.0000 0.0000 0.5332 [3 per cell]